Computed, not measured: a geometry-optimized Rb3Nd3PuO8 structure at the PBE-GGA level of DFT.

uncorrected energy	-111.14	eV per cell
uncorrected formation energy	-2.663	eV per atom
M_tot	4.000	μB/f.u.
density of states at the Fermi level	0.36	states/eV/atom

abc: 7.2463 7.2462 7.8742
angles: 117.41 90.00 120.00
With the nearest neighbours (Å) after each atom.
Atoms (fractional coordinates):
O (0.2123, 0.4245, 0.6681)  1 Pu 2.26, 2 Nd 2.43
Pu (0.0000, 0.0000, 0.5000)  6 O 2.26
Rb (0.5000, 0.5000, 0.0000)  6 O 3.00-3.01
O (0.2564, 0.0441, 0.3319)  1 Pu 2.26, 2 Nd 2.43
Nd (0.0000, 0.5000, 0.5000)  6 O 2.40-2.43
O (0.7255, 0.4511, 0.6764)  3 Nd 2.40
Nd (0.5000, 0.0000, 0.5000)  6 O 2.40-2.43
O (0.2123, 0.9559, 0.6681)  1 Pu 2.26, 2 Nd 2.43
O (0.7877, 0.5755, 0.3319)  1 Pu 2.26, 2 Nd 2.43
O (0.7877, 0.0441, 0.3319)  1 Pu 2.26, 2 Nd 2.43
O (0.7436, 0.9559, 0.6681)  1 Pu 2.26, 2 Nd 2.43
Rb (0.0000, 0.5000, 0.0000)  6 O 3.00-3.01
O (0.2745, 0.5489, 0.3236)  3 Nd 2.40
Nd (0.5000, 0.5000, 0.5000)  6 O 2.40-2.43
Rb (0.0000, 0.0000, 0.0000)  6 O 3.00


Computed, not measured: a geometry-optimized RbNdPuO6 structure at the PBE-GGA level of DFT.

uncorrected energy	-71.28	eV per cell
uncorrected formation energy	-2.384	eV per atom
M_tot	0.000	μB/f.u.

abc: 6.0359 6.0355 5.9281
angles: 89.99 89.99 60.00
With the nearest neighbours (Å) after each atom.
Atoms (fractional coordinates):
O (0.0462, 0.3639, 0.3146)  1 Pu 1.98
O (0.5899, 0.3638, 0.6854)  1 Pu 1.98
O (0.5899, 0.0463, 0.3146)  1 Pu 1.98
Nd (0.6666, 0.6667, 0.5000)  6 O 2.37
Rb (0.0000, 0.0000, 0.0000)  6 O 3.00
O (0.3638, 0.0462, 0.6854)  1 Pu 1.98
Pu (0.3333, 0.3333, 0.5000)  6 O 1.98
O (0.0462, 0.5898, 0.6854)  1 Pu 1.98
O (0.3638, 0.5899, 0.3146)  1 Pu 1.98


Computed, not measured: a geometry-optimized Rb2NdPuO4 structure at the PBE-GGA level of DFT.

uncorrected energy	-60.28	eV per cell
uncorrected formation energy	-2.427	eV per atom
M_tot	5.000	μB/f.u.
density of states at the Fermi level	0.67	states/eV/atom

abc: 3.6393 6.3048 6.9182
angles: 107.71 90.00 90.00
With the nearest neighbours (Å) after each atom.
Atoms (fractional coordinates):
O (0.5000, 0.7810, 0.8233)  2 Pu 2.38, 1 Nd 2.44
Nd (0.5000, 0.5000, 0.0000)  6 O 2.43-2.44
O (0.5000, 0.2190, 0.1767)  2 Pu 2.38, 1 Nd 2.44
Rb (0.0000, 0.5000, 0.5000)  6 O 2.99-3.01
O (0.0000, 0.2688, 0.8192)  1 Pu 2.39, 2 Nd 2.43
Rb (0.5000, 0.0000, 0.5000)  6 O 2.96
Pu (0.0000, 0.0000, 0.0000)  6 O 2.38-2.39
O (0.0000, 0.7312, 0.1808)  1 Pu 2.39, 2 Nd 2.43


Computed, not measured: a geometry-optimized Rb2NdPuO6 structure at the PBE-GGA level of DFT.

uncorrected energy	-151.49	eV per cell
uncorrected formation energy	-2.496	eV per atom
M_tot	1.000	μB/f.u.

abc: 6.2361 6.2364 8.8194
angles: 90.00 90.00 90.00
With the nearest neighbours (Å) after each atom.
Atoms (fractional coordinates):
O (0.7698, 0.5201, 0.0000)  1 Pu 2.03
O (0.7302, 0.4799, 0.5000)  1 Pu 2.03
O (0.5000, 0.2498, 0.2698)  1 Pu 2.03
Rb (0.5000, 0.7500, 0.2500)  12 O 3.12
Rb (0.0000, 0.2500, 0.2500)  12 O 3.12
O (0.7699, 0.9805, 0.0000)  1 Pu 2.03
O (0.2698, 0.4799, 0.5000)  1 Pu 2.03
O (0.2699, 0.0195, 0.5000)  1 Pu 2.03
O (0.5000, 0.2498, 0.7302)  1 Pu 2.03
Rb (0.0000, 0.2500, 0.7500)  12 O 3.12
O (0.2302, 0.5201, 0.0000)  1 Pu 2.03
O (0.0000, 0.7502, 0.7698)  1 Pu 2.03
Pu (0.5000, 0.2498, 0.5000)  6 O 2.03
Nd (0.5000, 0.2502, 0.0000)  6 O 2.38
O (0.2301, 0.9805, 0.0000)  1 Pu 2.03
O (0.0000, 0.7502, 0.2302)  1 Pu 2.03
Pu (0.0000, 0.7502, 0.0000)  6 O 2.03
Rb (0.5000, 0.7500, 0.7500)  12 O 3.12
O (0.7301, 0.0195, 0.5000)  1 Pu 2.03
Nd (0.0000, 0.7498, 0.5000)  6 O 2.38


Computed, not measured: a geometry-optimized Rb4Nd3PuO8 structure at the PBE-GGA level of DFT.

uncorrected energy	-111.94	eV per cell
uncorrected formation energy	-2.485	eV per atom
M_tot	5.001	μB/f.u.
density of states at the Fermi level	0.40	states/eV/atom

abc: 7.3118 7.8387 7.3119
angles: 117.81 120.00 90.00
With the nearest neighbours (Å) after each atom.
Atoms (fractional coordinates):
O (0.7761, 0.3204, 0.0442)  1 Pu 2.39, 2 Nd 2.44
Rb (0.5000, 0.0000, 0.5000)  6 O 2.98
Rb (0.5000, 0.0000, 0.0000)  6 O 3.01
Rb (0.0000, 0.0000, 0.5000)  6 O 2.98
Nd (0.5000, 0.5000, 0.5000)  6 O 2.43-2.44
O (0.2239, 0.6796, 0.9558)  1 Pu 2.39, 2 Nd 2.44
Pu (0.0000, 0.5000, 0.0000)  6 O 2.39
O (0.7271, 0.6812, 0.4542)  3 Nd 2.43
Rb (0.0000, 0.0000, 0.0000)  6 O 2.98
O (0.2729, 0.3188, 0.5458)  3 Nd 2.43
Nd (0.5000, 0.5000, 0.0000)  6 O 2.43-2.44
O (0.7761, 0.3204, 0.5522)  1 Pu 2.39, 2 Nd 2.44
Nd (0.0000, 0.5000, 0.5000)  6 O 2.43-2.44
O (0.2681, 0.3204, 0.0442)  1 Pu 2.39, 2 Nd 2.44
O (0.2239, 0.6796, 0.4478)  1 Pu 2.39, 2 Nd 2.44
O (0.7319, 0.6796, 0.9558)  1 Pu 2.39, 2 Nd 2.44


Computed, not measured: a geometry-optimized NdPuSO2 structure at the PBE-GGA level of DFT.

uncorrected energy	-46.70	eV per cell
uncorrected formation energy	-2.711	eV per atom
M_tot	5.000	μB/f.u.
density of states at the Fermi level	2.29	states/eV/atom

abc: 3.8551 3.8551 6.7129
angles: 106.69 106.69 90.00
With the nearest neighbours (Å) after each atom.
Atoms (fractional coordinates):
O (0.2515, 0.7515, 0.5029)  2 Pu 2.28, 2 Nd 2.33
S (0.5009, 0.5009, 0.0018)  4 Nd 3.25, 4 Pu 3.29, 8 O 3.62-3.63
Pu (0.8512, 0.8512, 0.7024)  4 O 2.28
Nd (0.1450, 0.1450, 0.2899)  4 O 2.33
O (0.7515, 0.2515, 0.5029)  2 Pu 2.28, 2 Nd 2.33